No. 1
Material: SrCu2N2
Method: DFT, PBE
State: optimized geometry

Cell: 7.149 7.149 3.465 Å, 90.00 90.00 90.00°
Fractional positions:
Sr1 0.000 0.000 0.000
Sr2 0.500 0.500 0.000
Cu1 0.385 0.885 0.000
Cu2 0.885 0.615 0.000
Cu3 0.615 0.115 0.000
Cu4 0.115 0.385 0.000
N1 0.345 0.845 0.500
N2 0.845 0.655 0.500
N3 0.655 0.155 0.500
N4 0.155 0.345 0.500

Energy above the lowest structure with this stoichiometry ... 0.3160 eV/atom
E ... -4.7362 eV/atom
ΔE_f (raw) ... 0.5688 eV per atom
Symmetry ... P4/mbm, No. 127

---

No. 2
Material: Sr6Cu3N5
Method: DFT, PBE
State: optimized geometry

Cell: 8.692 8.692 7.367 Å, 90.00 90.00 90.00°
Fractional positions:
Sr1 0.000 0.000 0.503
Sr2 0.000 0.000 0.003
Sr3 0.000 0.500 0.023
Sr4 0.500 0.000 0.523
Sr5 0.267 0.303 0.711
Sr6 0.733 0.697 0.711
Sr7 0.697 0.267 0.211
Sr8 0.303 0.733 0.211
Sr9 0.697 0.733 0.211
Sr10 0.733 0.303 0.711
Sr11 0.267 0.697 0.711
Sr12 0.303 0.267 0.211
Cu1 0.500 0.500 0.973
Cu2 0.500 0.500 0.473
Cu3 0.000 0.359 0.433
Cu4 0.359 0.000 0.933
Cu5 0.641 0.000 0.933
Cu6 0.000 0.641 0.433
N1 0.000 0.500 0.631
N2 0.500 0.000 0.131
N3 0.000 0.780 0.240
N4 0.780 0.000 0.740
N5 0.220 0.000 0.740
N6 0.000 0.220 0.240
N7 0.500 0.713 0.484
N8 0.713 0.500 0.984
N9 0.287 0.500 0.984
N10 0.500 0.287 0.484

E ... -5.0638 eV/atom
ΔE_f (raw) ... -0.4919 eV per atom
Symmetry ... P4_2mc, No. 105

---

The records above give, respectively, spin magnetization values of 0.0 0.0 μB/cell.